A plane-wave DFT calculation with PBE was carried out for Tl2SbI5 after structural relaxation.

Geometry as CIF:
```
data_Tl2SbI5
_chemical_formula_sum 'Tl2 Sb1 I5'
_cell_length_a 8.638
_cell_length_b 8.654
_cell_length_c 8.356
_cell_angle_alpha 119.96
_cell_angle_beta 121.12
_cell_angle_gamma 90.00
_symmetry_space_group_name_H-M 'P 1'
_symmetry_Int_Tables_number 1
loop_
_symmetry_equiv_pos_as_xyz
'x,y,z'
loop_
_atom_site_label
_atom_site_fract_x
_atom_site_fract_y
_atom_site_fract_z
Tl1 0.176 0.678 0.352
Tl2 0.677 0.138 0.354
Sb1 0.016 0.020 0.031
I1 0.803 0.296 0.104
I2 0.301 0.296 0.104
I3 0.767 0.764 0.027
I4 0.261 0.764 0.027
I5 0.777 0.821 0.554
```

Properties
ρ (g cm⁻³): 4.5
Raw formation energy (eV per formula unit): -3.64
Total moment (μB/f.u.): 0.00
VASP energy (eV/cell): -20.25
Space-group type: Cm, No. 8
Distance to the lowest polymorph of the same formula (eV/atom): 0.014

A plane-wave DFT calculation with PBE was carried out for TlSbI5 after structural relaxation.

Geometry as CIF:
```
data_TlSbI5
_chemical_formula_sum 'Tl2 Sb2 I10'
_cell_length_a 8.224
_cell_length_b 8.224
_cell_length_c 12.388
_cell_angle_alpha 68.06
_cell_angle_beta 68.06
_cell_angle_gamma 68.20
_symmetry_space_group_name_H-M 'P 1'
_symmetry_Int_Tables_number 1
loop_
_symmetry_equiv_pos_as_xyz
'x,y,z'
loop_
_atom_site_label
_atom_site_fract_x
_atom_site_fract_y
_atom_site_fract_z
Tl1 0.589 0.411 0.250
Tl2 0.411 0.589 0.750
Sb1 0.000 0.000 0.000
Sb2 0.000 0.000 0.500
I1 0.772 0.747 0.120
I2 0.305 0.666 0.489
I3 0.747 0.772 0.620
I4 0.959 0.041 0.250
I5 0.334 0.695 0.011
I6 0.666 0.305 0.989
I7 0.041 0.959 0.750
I8 0.253 0.228 0.380
I9 0.695 0.334 0.511
I10 0.228 0.253 0.880
```

Properties
ρ (g cm⁻³): 4.6
Raw formation energy (eV per formula unit): -1.82
Total moment (μB/f.u.): 0.00
VASP energy (eV/cell): -32.12
Space-group type: C2/c, No. 15

A plane-wave DFT calculation with PBE was carried out for TlSbI after structural relaxation.

Geometry as CIF:
```
data_TlSbI
_chemical_formula_sum 'Tl2 Sb2 I2'
_cell_length_a 4.346
_cell_length_b 4.346
_cell_length_c 15.708
_cell_angle_alpha 89.94
_cell_angle_beta 89.93
_cell_angle_gamma 60.04
_symmetry_space_group_name_H-M 'P 1'
_symmetry_Int_Tables_number 1
loop_
_symmetry_equiv_pos_as_xyz
'x,y,z'
loop_
_atom_site_label
_atom_site_fract_x
_atom_site_fract_y
_atom_site_fract_z
Sb1 0.667 0.667 0.950
Sb2 0.333 0.333 0.050
Tl1 0.334 0.333 0.403
Tl2 0.666 0.667 0.597
I1 0.001 0.000 0.278
I2 0.999 0.000 0.722
```

Properties
ρ (g cm⁻³): 5.9
Raw formation energy (eV per formula unit): -0.82
Total moment (μB/f.u.): 0.00
VASP energy (eV/cell): -17.71
Space-group type: C2/m, No. 12

A plane-wave DFT calculation with PBE was carried out for Tl5SbI8 after structural relaxation.

Geometry as CIF:
```
data_Tl5SbI8
_chemical_formula_sum 'Tl5 Sb1 I8'
_cell_length_a 9.062
_cell_length_b 9.062
_cell_length_c 9.062
_cell_angle_alpha 108.74
_cell_angle_beta 109.84
_cell_angle_gamma 109.84
_symmetry_space_group_name_H-M 'P 1'
_symmetry_Int_Tables_number 1
loop_
_symmetry_equiv_pos_as_xyz
'x,y,z'
loop_
_atom_site_label
_atom_site_fract_x
_atom_site_fract_y
_atom_site_fract_z
Tl1 0.605 0.601 0.732
Tl2 0.132 0.005 0.399
Tl3 0.395 0.127 0.995
Tl4 0.000 0.500 0.500
Tl5 0.868 0.268 0.873
Sb1 0.500 0.750 0.250
I1 0.282 0.399 0.249
I2 0.850 0.883 0.601
I3 0.741 0.537 0.143
I4 0.606 0.204 0.463
I5 0.394 0.857 0.598
I6 0.150 0.751 0.032
I7 0.718 0.968 0.117
I8 0.259 0.402 0.796
```

Properties
ρ (g cm⁻³): 6.3
Raw formation energy (eV per formula unit): -6.89
Total moment (μB/f.u.): 0.00
VASP energy (eV/cell): -35.24
Space-group type: I-4, No. 82

A plane-wave DFT calculation with PBE was carried out for Tl2SbI6 after structural relaxation.

Geometry as CIF:
```
data_Tl2SbI6
_chemical_formula_sum 'Tl4 Sb2 I12'
_cell_length_a 7.959
_cell_length_b 8.675
_cell_length_c 11.185
_cell_angle_alpha 90.00
_cell_angle_beta 91.46
_cell_angle_gamma 90.00
_symmetry_space_group_name_H-M 'P 1'
_symmetry_Int_Tables_number 1
loop_
_symmetry_equiv_pos_as_xyz
'x,y,z'
loop_
_atom_site_label
_atom_site_fract_x
_atom_site_fract_y
_atom_site_fract_z
Tl1 0.972 0.397 0.753
Tl2 0.528 0.897 0.747
Tl3 0.472 0.103 0.253
Tl4 0.028 0.603 0.247
Sb1 0.500 0.500 0.000
Sb2 0.000 0.000 0.500
I1 0.907 0.995 0.242
I2 0.815 0.705 0.536
I3 0.808 0.683 0.954
I4 0.692 0.183 0.546
I5 0.685 0.205 0.964
I6 0.593 0.495 0.258
I7 0.093 0.005 0.758
I8 0.185 0.295 0.464
I9 0.192 0.317 0.046
I10 0.308 0.817 0.454
I11 0.315 0.795 0.036
I12 0.407 0.505 0.742
```

Properties
ρ (g cm⁻³): 5.6
Raw formation energy (eV per formula unit): -3.62
Total moment (μB/f.u.): 0.00
VASP energy (eV/cell): -43.56
Space-group type: P2_1/c, No. 14

A plane-wave DFT calculation with PBE was carried out for TlSb3I after structural relaxation.

Geometry as CIF:
```
data_TlSb3I
_chemical_formula_sum 'Tl1 Sb3 I1'
_cell_length_a 5.770
_cell_length_b 5.770
_cell_length_c 5.770
_cell_angle_alpha 90.00
_cell_angle_beta 90.00
_cell_angle_gamma 90.00
_symmetry_space_group_name_H-M 'P 1'
_symmetry_Int_Tables_number 1
loop_
_symmetry_equiv_pos_as_xyz
'x,y,z'
loop_
_atom_site_label
_atom_site_fract_x
_atom_site_fract_y
_atom_site_fract_z
I1 0.500 0.500 0.500
Sb1 0.000 0.500 0.000
Sb2 0.000 0.000 0.500
Sb3 0.500 0.000 0.000
Tl1 0.000 0.000 0.000
```

Properties
ρ (g cm⁻³): 6.0
Raw formation energy (eV per formula unit): 4.24
Total moment (μB/f.u.): 0.00
VASP energy (eV/cell): -12.04
Space-group type: Pm-3m, No. 221
Distance to the lowest polymorph of the same formula (eV/atom): 0.000

> What is the total moment in the first record?

0.00 μB/f.u.